First-principles (PBE) data for a relaxed LaTi2Ru2 crystal, as listed in the Alexandria database.

Summary:
The value obtained for the density of states at the Fermi level is 0.6147 states/eV per atom. The calculation puts the total DFT energy (no corrections) at -8.07 eV per atom.

a = 4.431 Å, b = 4.431 Å, c = 10.324 Å
α = 90.00°, β = 90.00°, γ = 90.00°
Space group I4/mmm (No. 139)
Inequivalent atoms, fractional coordinates:
La 0.000 0.000 0.000 x2
Ti 0.000 0.000 0.361 x4
Ru 0.000 0.500 0.250 x4



First-principles (PBE) data for a relaxed LaTi2Ru2 crystal, as listed in the Alexandria database.

Summary:
The value obtained for the density of states at the Fermi level is 1.4580 states/eV per atom. The calculation puts the total DFT energy (no corrections) at -8.09 eV per atom.

a = 7.732 Å, b = 7.732 Å, c = 3.066 Å
α = 90.00°, β = 90.00°, γ = 90.00°
Space group P4/mbm (No. 127)
Inequivalent atoms, fractional coordinates:
La 0.000 0.000 0.000 x2
Ti 0.137 0.363 0.500 x4
Ru 0.146 0.646 0.000 x4



First-principles (PBE) data for a relaxed La2TiRu crystal, as listed in the Alexandria database.

Summary:
The value obtained for the density of states at the Fermi level is 1.3063 states/eV per atom. The calculation puts the total DFT energy (no corrections) at -6.41 eV per atom.

a = 8.201 Å, b = 8.201 Å, c = 6.168 Å
α = 90.00°, β = 90.00°, γ = 90.00°
Space group I-42d (No. 122)
Inequivalent atoms, fractional coordinates:
La 0.198 0.250 0.125 x8
Ti 0.000 0.000 0.500 x4
Ru 0.000 0.000 0.000 x4



First-principles (PBE) data for a relaxed LaTi2Ru crystal, as listed in the Alexandria database.

Summary:
The value obtained for the density of states at the Fermi level is 1.0730 states/eV per atom. The calculation puts the total DFT energy (no corrections) at -6.98 eV per atom.

a = 4.723 Å, b = 4.723 Å, c = 17.732 Å
α = 90.00°, β = 90.00°, γ = 90.00°
Space group I4_1/amd (No. 141, origin choice 2)
Inequivalent atoms, fractional coordinates:
La 0.000 0.250 0.375 x4
Ti 0.000 0.000 0.000 x8
Ru 0.000 0.250 0.875 x4



First-principles (PBE) data for a relaxed LaTiRu3 crystal, as listed in the Alexandria database.

Summary:
The value obtained for the density of states at the Fermi level is 1.3327 states/eV per atom. The calculation puts the total DFT energy (no corrections) at -6.49 eV per atom.

a = 4.737 Å, b = 4.737 Å, c = 4.737 Å
α = 90.00°, β = 90.00°, γ = 90.00°
Space group Pm-3m (No. 221)
Inequivalent atoms, fractional coordinates:
La 0.000 0.000 0.000 x1
Ti 0.500 0.500 0.500 x1
Ru 0.000 0.000 0.500 x3



First-principles (PBE) data for a relaxed LaTi2Ru2 crystal, as listed in the Alexandria database.

Summary:
The value obtained for the density of states at the Fermi level is 0.9748 states/eV per atom. The calculation puts the total DFT energy (no corrections) at -8.27 eV per atom.

a = 4.167 Å, b = 4.167 Å, c = 11.463 Å
α = 90.00°, β = 90.00°, γ = 90.00°
Space group I4/mmm (No. 139)
Inequivalent atoms, fractional coordinates:
La 0.000 0.000 0.000 x2
Ti 0.000 0.500 0.250 x4
Ru 0.000 0.000 0.379 x4



For each record above, in turn, the calculated energy of formation from the pure elements values are -0.2128 -0.2371 0.3446 0.5192 1.6411 -0.4143 eV/atom.
For each record above, in turn, the calculated offset from the most stable computed form values are 19.4 17.1 12.5 42.1 128.5 0.0 kJ per mole of atoms.